Entry from Alexandria via LeMat-Bulk: crystalline Tl2HgH8 at its relaxed geometry (PBE).

Cell and atoms, written as extended XYZ:
```
11
Lattice="8.062 -2.675 0.000 8.062 2.675 0.000 -0.282 0.000 3.477" Properties=species:S:1:pos:R:3 pbc="T T T"
Tl 3.155 0.000 0.782
Tl 12.688 0.000 2.696
Hg 8.062 0.000 0.000
H 0.236 0.000 1.713
H 5.012 1.324 0.943
H 6.487 0.000 2.420
H 10.831 1.324 2.534
H 5.012 -1.324 0.943
H 9.356 0.000 1.058
H 10.831 -1.324 2.534
H 15.608 0.000 1.765
```

Summary:
* space group: C2/m, No. 12
* calculated total energy: -2.4504 eV per atom
* spin magnetization: 0.000 μB per cell